1.
This record from Alexandria describes a relaxed TeRuIN2 crystal. The functional is PBE.

The structure in CIF format:
```
data_TeRuIN2
_chemical_formula_sum 'Te1 Ru1 I1 N2'
_symmetry_space_group_name_H-M 'P 1'
_symmetry_Int_Tables_number 1
_cell_length_a 4.025
_cell_length_b 4.025
_cell_length_c 5.785
_cell_angle_alpha 90.00
_cell_angle_beta 90.00
_cell_angle_gamma 90.00
loop_
_symmetry_equiv_pos_as_xyz
'x,y,z'
loop_
_atom_site_label
_atom_site_type_symbol
_atom_site_fract_x
_atom_site_fract_y
_atom_site_fract_z
_atom_site_occupancy
I1 I 0.500 0.500 0.500 1
Ru1 Ru 0.000 0.000 0.000 1
Te1 Te 0.000 0.000 0.500 1
N1 N 0.000 0.500 0.000 1
N2 N 0.500 0.000 0.000 1
```

Summary:
symmetry: No. 123
VASP energy: -25.31 eV per formula unit
total magnetization: 0.4 μB per cell
E_form (uncorrected): 1.062 eV per atom


2.
This record from Alexandria describes a relaxed TeRuIN2 crystal. The functional is PBE.

The structure in CIF format:
```
data_TeRuIN2
_chemical_formula_sum 'Te1 Ru1 I1 N2'
_symmetry_space_group_name_H-M 'P 1'
_symmetry_Int_Tables_number 1
_cell_length_a 4.019
_cell_length_b 4.019
_cell_length_c 5.871
_cell_angle_alpha 90.00
_cell_angle_beta 90.00
_cell_angle_gamma 90.00
loop_
_symmetry_equiv_pos_as_xyz
'x,y,z'
loop_
_atom_site_label
_atom_site_type_symbol
_atom_site_fract_x
_atom_site_fract_y
_atom_site_fract_z
_atom_site_occupancy
I1 I 0.000 0.000 0.500 1
Ru1 Ru 0.000 0.000 0.000 1
Te1 Te 0.500 0.500 0.500 1
N1 N 0.000 0.500 0.000 1
N2 N 0.500 0.000 0.000 1
```

Summary:
symmetry: No. 123
VASP energy: -24.37 eV per formula unit
total magnetization: 0.0 μB per cell
E_form (uncorrected): 1.249 eV per atom


3.
This record from Alexandria describes a relaxed TeRuI2N crystal. The functional is PBE.

The structure in CIF format:
```
data_TeRuI2N
_chemical_formula_sum 'Te1 Ru1 I2 N1'
_symmetry_space_group_name_H-M 'P 1'
_symmetry_Int_Tables_number 1
_cell_length_a 5.673
_cell_length_b 5.673
_cell_length_c 3.733
_cell_angle_alpha 90.00
_cell_angle_beta 90.00
_cell_angle_gamma 90.00
loop_
_symmetry_equiv_pos_as_xyz
'x,y,z'
loop_
_atom_site_label
_atom_site_type_symbol
_atom_site_fract_x
_atom_site_fract_y
_atom_site_fract_z
_atom_site_occupancy
I1 I 0.000 0.500 0.000 1
I2 I 0.500 0.000 0.000 1
Ru1 Ru 0.000 0.000 0.000 1
Te1 Te 0.500 0.500 0.500 1
N1 N 0.000 0.000 0.500 1
```

Summary:
symmetry: No. 123
VASP energy: -21.31 eV per formula unit
total magnetization: 0.0 μB per cell
E_form (uncorrected): 0.506 eV per atom


4.
This record from Alexandria describes a relaxed TeRuI2N crystal. The functional is PBE.

The structure in CIF format:
```
data_TeRuI2N
_chemical_formula_sum 'Te1 Ru1 I2 N1'
_symmetry_space_group_name_H-M 'P 1'
_symmetry_Int_Tables_number 1
_cell_length_a 4.835
_cell_length_b 4.835
_cell_length_c 4.926
_cell_angle_alpha 90.00
_cell_angle_beta 90.00
_cell_angle_gamma 90.00
loop_
_symmetry_equiv_pos_as_xyz
'x,y,z'
loop_
_atom_site_label
_atom_site_type_symbol
_atom_site_fract_x
_atom_site_fract_y
_atom_site_fract_z
_atom_site_occupancy
I1 I 0.000 0.500 0.000 1
I2 I 0.500 0.000 0.000 1
Ru1 Ru 0.500 0.500 0.500 1
Te1 Te 0.000 0.000 0.500 1
N1 N 0.000 0.000 0.000 1
```

Summary:
symmetry: No. 123
VASP energy: -16.31 eV per formula unit
total magnetization: 2.9 μB per cell
E_form (uncorrected): 1.506 eV per atom


5.
This record from Alexandria describes a relaxed TeRuIN2 crystal. The functional is PBE.

The structure in CIF format:
```
data_TeRuIN2
_chemical_formula_sum 'Te1 Ru1 I1 N2'
_symmetry_space_group_name_H-M 'P 1'
_symmetry_Int_Tables_number 1
_cell_length_a 3.969
_cell_length_b 3.969
_cell_length_c 7.594
_cell_angle_alpha 90.00
_cell_angle_beta 90.00
_cell_angle_gamma 90.00
loop_
_symmetry_equiv_pos_as_xyz
'x,y,z'
loop_
_atom_site_label
_atom_site_type_symbol
_atom_site_fract_x
_atom_site_fract_y
_atom_site_fract_z
_atom_site_occupancy
I1 I 0.000 0.000 0.500 1
Ru1 Ru 0.500 0.500 0.500 1
Te1 Te 0.000 0.000 0.000 1
N1 N 0.000 0.500 0.000 1
N2 N 0.500 0.000 0.000 1
```

Summary:
symmetry: No. 123
VASP energy: -21.42 eV per formula unit
total magnetization: 2.4 μB per cell
E_form (uncorrected): 1.840 eV per atom


6.
This record from Alexandria describes a relaxed Te2RuIN crystal. The functional is PBE.

The structure in CIF format:
```
data_Te2RuIN
_chemical_formula_sum 'Te2 Ru1 I1 N1'
_symmetry_space_group_name_H-M 'P 1'
_symmetry_Int_Tables_number 1
_cell_length_a 5.065
_cell_length_b 5.065
_cell_length_c 5.517
_cell_angle_alpha 90.00
_cell_angle_beta 90.00
_cell_angle_gamma 90.00
loop_
_symmetry_equiv_pos_as_xyz
'x,y,z'
loop_
_atom_site_label
_atom_site_type_symbol
_atom_site_fract_x
_atom_site_fract_y
_atom_site_fract_z
_atom_site_occupancy
I1 I 0.000 0.000 0.500 1
Ru1 Ru 0.000 0.000 0.000 1
Te1 Te 0.000 0.500 0.000 1
Te2 Te 0.500 0.000 0.000 1
N1 N 0.500 0.500 0.500 1
```

Summary:
symmetry: No. 123
VASP energy: -17.22 eV per formula unit
total magnetization: 0.0 μB per cell
E_form (uncorrected): 1.644 eV per atom


7.
This record from Alexandria describes a relaxed TiRuIN2 crystal. The functional is PBE.

The structure in CIF format:
```
data_TiRuIN2
_chemical_formula_sum 'Ti1 Ru1 I1 N2'
_symmetry_space_group_name_H-M 'P 1'
_symmetry_Int_Tables_number 1
_cell_length_a 3.895
_cell_length_b 3.895
_cell_length_c 5.937
_cell_angle_alpha 90.00
_cell_angle_beta 90.00
_cell_angle_gamma 90.00
loop_
_symmetry_equiv_pos_as_xyz
'x,y,z'
loop_
_atom_site_label
_atom_site_type_symbol
_atom_site_fract_x
_atom_site_fract_y
_atom_site_fract_z
_atom_site_occupancy
I1 I 0.000 0.000 0.500 1
Ru1 Ru 0.500 0.500 0.500 1
N1 N 0.000 0.500 0.000 1
N2 N 0.500 0.000 0.000 1
Ti1 Ti 0.000 0.000 0.000 1
```

Summary:
symmetry: No. 123
VASP energy: -30.83 eV per formula unit
total magnetization: 2.3 μB per cell
E_form (uncorrected): 0.909 eV per atom


8.
This record from Alexandria describes a relaxed TiRuI2N crystal. The functional is PBE.

The structure in CIF format:
```
data_TiRuI2N
_chemical_formula_sum 'Ti1 Ru1 I2 N1'
_symmetry_space_group_name_H-M 'P 1'
_symmetry_Int_Tables_number 1
_cell_length_a 5.546
_cell_length_b 5.546
_cell_length_c 3.697
_cell_angle_alpha 90.00
_cell_angle_beta 90.00
_cell_angle_gamma 90.00
loop_
_symmetry_equiv_pos_as_xyz
'x,y,z'
loop_
_atom_site_label
_atom_site_type_symbol
_atom_site_fract_x
_atom_site_fract_y
_atom_site_fract_z
_atom_site_occupancy
I1 I 0.000 0.500 0.000 1
I2 I 0.500 0.000 0.000 1
Ru1 Ru 0.000 0.000 0.000 1
N1 N 0.000 0.000 0.500 1
Ti1 Ti 0.500 0.500 0.500 1
```

Summary:
symmetry: No. 123
VASP energy: -25.66 eV per formula unit
total magnetization: 0.7 μB per cell
E_form (uncorrected): 0.588 eV per atom


9.
This record from Alexandria describes a relaxed TiRuIN2 crystal. The functional is PBE.

The structure in CIF format:
```
data_TiRuIN2
_chemical_formula_sum 'Ti1 Ru1 I1 N2'
_symmetry_space_group_name_H-M 'P 1'
_symmetry_Int_Tables_number 1
_cell_length_a 3.869
_cell_length_b 3.869
_cell_length_c 5.730
_cell_angle_alpha 90.00
_cell_angle_beta 90.00
_cell_angle_gamma 90.00
loop_
_symmetry_equiv_pos_as_xyz
'x,y,z'
loop_
_atom_site_label
_atom_site_type_symbol
_atom_site_fract_x
_atom_site_fract_y
_atom_site_fract_z
_atom_site_occupancy
I1 I 0.000 0.000 0.500 1
Ru1 Ru 0.000 0.000 0.000 1
N1 N 0.000 0.500 0.000 1
N2 N 0.500 0.000 0.000 1
Ti1 Ti 0.500 0.500 0.500 1
```

Summary:
symmetry: No. 123
VASP energy: -30.09 eV per formula unit
total magnetization: 0.0 μB per cell
E_form (uncorrected): 1.056 eV per atom


10.
This record from Alexandria describes a relaxed TiRuI2N crystal. The functional is PBE.

The structure in CIF format:
```
data_TiRuI2N
_chemical_formula_sum 'Ti1 Ru1 I2 N1'
_symmetry_space_group_name_H-M 'P 1'
_symmetry_Int_Tables_number 1
_cell_length_a 5.657
_cell_length_b 5.657
_cell_length_c 3.709
_cell_angle_alpha 90.00
_cell_angle_beta 90.00
_cell_angle_gamma 90.00
loop_
_symmetry_equiv_pos_as_xyz
'x,y,z'
loop_
_atom_site_label
_atom_site_type_symbol
_atom_site_fract_x
_atom_site_fract_y
_atom_site_fract_z
_atom_site_occupancy
I1 I 0.000 0.500 0.000 1
I2 I 0.500 0.000 0.000 1
Ru1 Ru 0.500 0.500 0.500 1
N1 N 0.000 0.000 0.500 1
Ti1 Ti 0.000 0.000 0.000 1
```

Summary:
symmetry: No. 123
VASP energy: -25.71 eV per formula unit
total magnetization: 2.8 μB per cell
E_form (uncorrected): 0.578 eV per atom